Here is a relaxed structure of KMgAs2 from Alexandria via LeMat-Bulk. Energies are from PBE.

Computed properties:
Formation enthalpy at 0 K, eV per formula unit: -1.3
VASP energy, eV per atom: -3.33

Cell lengths 8.765, 3.653, 6.831 Å; angles 90.00, 102.26, 90.00 degrees
Space group C2/m (No. 12)
Asymmetric unit:
K1 0.000 0.000 0.000 (multiplicity 2)
Mg1 0.000 0.500 0.500 (multiplicity 2)
As1 0.235 0.000 0.647 (multiplicity 4)

---

Here is a relaxed structure of Sr2Li2AcPb2 from Alexandria via LeMat-Bulk. Energies are from PBE.

Computed properties:
Formation enthalpy at 0 K, eV per formula unit: -2.9
VASP energy, eV per atom: -3.09

Cell lengths 5.0329, 5.0329, 32.1586 Å; angles 90.00, 90.00, 120.00 degrees
Space group R-3m (No. 166, hexagonal axes)
Asymmetric unit:
Sr1 0.0000 0.0000 0.1243 (multiplicity 6)
Li1 0.0000 0.0000 0.3982 (multiplicity 6)
Ac1 0.0000 0.0000 0.0000 (multiplicity 3)
Pb1 0.0000 0.0000 0.2673 (multiplicity 6)

---

Here is a relaxed structure of Er4ZnCu2Pd from Alexandria via LeMat-Bulk. Energies are from PBE.

Computed properties:
Formation enthalpy at 0 K, eV per formula unit: -3.7
VASP energy, eV per atom: -4.58

Cell lengths 4.9089, 4.9089, 24.1222 Å; angles 90.00, 90.00, 120.00 degrees
Space group R-3m (No. 166, hexagonal axes)
Asymmetric unit:
Er1 0.0000 0.0000 0.1233 (multiplicity 6)
Er2 0.0000 0.0000 0.3736 (multiplicity 6)
Zn1 0.0000 0.0000 0.5000 (multiplicity 3)
Cu1 0.0000 0.0000 0.2459 (multiplicity 6)
Pd1 0.0000 0.0000 0.0000 (multiplicity 3)

---

Here is a relaxed structure of Pd17Se15 from Alexandria via LeMat-Bulk. Energies are from PBE.

Computed properties:
VASP energy, eV per atom: -4.71
E_form (uncorrected), kcal/mol of atoms: -7.3

Cell lengths 10.777, 10.777, 10.777 Å; angles 90.00, 90.00, 90.00 degrees
Space group Pm-3m (No. 221)
Asymmetric unit:
Pd1 0.000 0.000 0.000 (multiplicity 1)
Pd2 0.000 0.500 0.500 (multiplicity 3)
Pd3 0.147 0.147 0.349 (multiplicity 24)
Pd4 0.259 0.500 0.500 (multiplicity 6)
Se1 0.000 0.000 0.239 (multiplicity 6)
Se2 0.000 0.331 0.331 (multiplicity 12)
Se3 0.269 0.269 0.500 (multiplicity 12)